## Sc3SiPt2 (PBE)

Data for an optimized crystal structure of Sc3SiPt2.

Structure (POSCAR):
```
Sc3SiPt2
1.0
11.052 0.000 0.000
0.000 4.197 0.000
0.000 0.000 9.788
Sc Si Pt
12 4 8
direct
0.047 0.250 0.116
0.111 0.750 0.576
0.199 0.250 0.810
0.301 0.750 0.310
0.389 0.250 0.076
0.453 0.750 0.616
0.547 0.250 0.384
0.611 0.750 0.924
0.699 0.250 0.690
0.801 0.750 0.190
0.889 0.250 0.424
0.953 0.750 0.884
0.142 0.250 0.375
0.358 0.750 0.875
0.642 0.250 0.125
0.858 0.750 0.625
0.032 0.750 0.301
0.184 0.750 0.017
0.316 0.250 0.517
0.468 0.250 0.801
0.532 0.750 0.199
0.684 0.750 0.483
0.816 0.250 0.983
0.968 0.250 0.699
```

Summary:
* DOS at the Fermi energy: 0.709 states/eV per atom
* formation energy without anion corrections: -1.012 eV/atom
* V: 454 Å³/cell
* energy: -7.095 eV/atom
* magnetic moment: 0.0 μB per cell